1.
Pr8Nd2Hg (GGA-PBE, optimized geometry); polymorph energy (0 for the lowest one) = 0.0 meV/atom; formation energy = -0.0429 eV per atom; E = -4.41 eV per atom
1.0
5.2723 0.0000 0.0000
-2.6362 5.8692 -0.0049
0.0000 2.7501 12.2538
Pr Nd Hg
8 2 1
Direct
0.9687 0.9375 0.8308
0.4144 0.8289 0.6399
0.5856 0.1711 0.3601
0.7415 0.4831 0.0864
0.0313 0.0625 0.1692
0.1407 0.2814 0.5491
0.2585 0.5169 0.9136
0.8593 0.7186 0.4509
0.3116 0.6233 0.2559
0.6884 0.3767 0.7441
0.5000 0.0000 0.0000

---

2.
Pr5Nd4Hg (GGA-PBE, optimized geometry); formation energy = -0.0846 eV per atom; E = -4.41 eV per atom
1.0
-0.6159 3.6545 0.4545
-2.9627 -0.2180 -2.2619
-14.4970 -4.8633 19.4577
Nd Hg Pr
4 1 5
Direct
0.0000 0.0000 0.1865
0.0000 0.0000 0.8135
0.0000 0.0000 0.3956
0.0000 0.0000 0.6044
0.0000 0.0000 0.0000
0.5000 0.5000 0.7094
0.5000 0.5000 0.9174
0.5000 0.5000 0.2906
0.5000 0.5000 0.0826
0.5000 0.5000 0.5000

---

3.
Pr6Nd2Hg (GGA-PBE, optimized geometry); polymorph energy (0 for the lowest one) = 0.0 meV/atom; formation energy = -0.0930 eV per atom; E = -4.37 eV per atom
1.0
-3.3406 -1.6111 -0.8126
3.4655 -2.8046 -8.6861
0.9397 -5.8593 7.7539
Pr Hg Nd
6 1 2
Direct
0.5000 0.6213 0.0000
0.0000 0.7309 0.7309
0.0000 0.0000 0.2691
0.5000 0.0001 0.6214
0.5000 0.3786 0.3786
0.0000 0.2691 0.0000
0.5000 0.0000 0.0000
0.0000 0.3334 0.6666
0.0000 0.6668 0.3334